# Pm4Pr5Tl2, optimized geometry, DFT GGA-PBE
# * DFT formation energy: -3.4 kJ/mol of atoms
# * final energy: -48.02 eV/cell
# * crystal system: monoclinic
# * theoretical density: 7.49 g/cm3
# * DOS at the Fermi energy: 14.5 states/eV/cell
data_Pm4Pr5Tl2
_chemical_formula_sum 'Pm4 Pr5 Tl2'
_symmetry_space_group_name_H-M 'P 1'
_symmetry_Int_Tables_number 1
_cell_length_a 9.0085
_cell_length_b 3.6607
_cell_length_c 11.4124
_cell_angle_alpha 90.00
_cell_angle_beta 94.12
_cell_angle_gamma 90.00
loop_
_symmetry_equiv_pos_as_xyz
'x,y,z'
loop_
_atom_site_label
_atom_site_fract_x
_atom_site_fract_y
_atom_site_fract_z
Pm1 0.1516 0.0000 0.3911
Pm2 0.2238 0.0000 0.9482
Pm3 0.7762 0.0000 0.0518
Pm4 0.8484 0.0000 0.6089
Pr1 0.2020 0.5000 0.6681
Pr2 0.4554 0.5000 0.1728
Pr3 0.5000 0.5000 0.5000
Pr4 0.5446 0.5000 0.8272
Pr5 0.7980 0.5000 0.3319
Tl1 0.0801 0.5000 0.1541
Tl2 0.9199 0.5000 0.8459

---

# HI, optimized geometry, DFT GGA-PBE
# * final energy: -18.12 eV/cell
# * crystal system: tetragonal
# * theoretical density: 3.25 g/cm3
# * DOS at the Fermi energy: 0.0 states/eV/cell
data_HI
_chemical_formula_sum 'H4 I4'
_symmetry_space_group_name_H-M 'P 1'
_symmetry_Int_Tables_number 1
_cell_length_a 8.4758
_cell_length_b 8.4758
_cell_length_c 3.6404
_cell_angle_alpha 90.00
_cell_angle_beta 90.00
_cell_angle_gamma 90.00
loop_
_symmetry_equiv_pos_as_xyz
'x,y,z'
loop_
_atom_site_label
_atom_site_fract_x
_atom_site_fract_y
_atom_site_fract_z
H1 0.2058 0.2058 0.0000
H2 0.2942 0.7058 0.5000
H3 0.7058 0.2942 0.5000
H4 0.7942 0.7942 0.0000
I1 0.2424 0.7576 0.0000
I2 0.2576 0.2576 0.5000
I3 0.7424 0.7424 0.5000
I4 0.7576 0.2424 0.0000

---

# RbBiSbO6, optimized geometry, DFT GGA-PBE
# * raw formation energy: -1063 meV/atom
# * final energy: -96.57 eV/cell
# * crystal system: trigonal
# * theoretical density: 4.94 g/cm3
# * DOS at the Fermi energy: 17.2 states/eV/cell
data_RbBiSbO6
_chemical_formula_sum 'Rb2 Bi2 Sb2 O12'
_symmetry_space_group_name_H-M 'P 1'
_symmetry_Int_Tables_number 1
_cell_length_a 5.5750
_cell_length_b 5.5750
_cell_length_c 12.7981
_cell_angle_alpha 90.00
_cell_angle_beta 90.00
_cell_angle_gamma 120.00
loop_
_symmetry_equiv_pos_as_xyz
'x,y,z'
loop_
_atom_site_label
_atom_site_fract_x
_atom_site_fract_y
_atom_site_fract_z
Rb1 0.0000 0.0000 0.0000
Rb2 0.0000 0.0000 0.5000
Bi1 0.3333 0.6667 0.2500
Bi2 0.6667 0.3333 0.7500
Sb1 0.3333 0.6667 0.7500
Sb2 0.6667 0.3333 0.2500
O1 0.0176 0.3913 0.6594
O2 0.0176 0.6263 0.8406
O3 0.3737 0.3913 0.8406
O4 0.3737 0.9824 0.6594
O5 0.3913 0.0176 0.1594
O6 0.3913 0.3737 0.3406
O7 0.6087 0.6263 0.6594
O8 0.6087 0.9824 0.8406
O9 0.6263 0.0176 0.3406
O10 0.6263 0.6087 0.1594
O11 0.9824 0.3737 0.1594
O12 0.9824 0.6087 0.3406

---

# YHgPCl2, optimized geometry, DFT GGA-PBE
# * energy relative to the lowest polymorph listed for this composition: 0.0000 eV/atom
# * raw formation energy: -854 meV/atom
# * final energy: -20.14 eV/cell
# * crystal system: tetragonal
# * theoretical density: 4.03 g/cm3
# * DOS at the Fermi energy: 1.4 states/eV/cell
data_YHgPCl2
_chemical_formula_sum 'Y1 Hg1 P1 Cl2'
_symmetry_space_group_name_H-M 'P 1'
_symmetry_Int_Tables_number 1
_cell_length_a 5.2912
_cell_length_b 5.2912
_cell_length_c 5.7626
_cell_angle_alpha 90.00
_cell_angle_beta 90.00
_cell_angle_gamma 90.00
loop_
_symmetry_equiv_pos_as_xyz
'x,y,z'
loop_
_atom_site_label
_atom_site_fract_x
_atom_site_fract_y
_atom_site_fract_z
Y1 0.0000 0.0000 0.0000
Hg1 0.5000 0.5000 0.5000
P1 0.0000 0.0000 0.5000
Cl1 0.0000 0.5000 0.0000
Cl2 0.5000 0.0000 0.0000

---

# Sc2CoBr, optimized geometry, DFT GGA-PBE
# * energy relative to the lowest polymorph listed for this composition: 0.5166 eV/atom
# * raw formation energy: -126 meV/atom
# * final energy: -21.95 eV/cell
# * crystal system: tetragonal
# * theoretical density: 5.16 g/cm3
# * DOS at the Fermi energy: 2.6 states/eV/cell
data_Sc2CoBr
_chemical_formula_sum 'Sc2 Co1 Br1'
_symmetry_space_group_name_H-M 'P 1'
_symmetry_Int_Tables_number 1
_cell_length_a 5.8530
_cell_length_b 5.8530
_cell_length_c 5.8530
_cell_angle_alpha 142.57
_cell_angle_beta 142.57
_cell_angle_gamma 53.96
loop_
_symmetry_equiv_pos_as_xyz
'x,y,z'
loop_
_atom_site_label
_atom_site_fract_x
_atom_site_fract_y
_atom_site_fract_z
Sc1 0.0000 0.0000 0.0000
Sc2 0.7500 0.2500 0.5000
Co1 0.5000 0.5000 0.0000
Br1 0.2500 0.7500 0.5000

---

# BiSbS3, optimized geometry, DFT GGA-PBE
# * energy relative to the lowest polymorph listed for this composition: 0.0000 eV/atom
# * raw formation energy: -305 meV/atom
# * final energy: -87.64 eV/cell
# * crystal system: orthorhombic
# * theoretical density: 5.06 g/cm3
data_BiSbS3
_chemical_formula_sum 'Bi4 Sb4 S12'
_symmetry_space_group_name_H-M 'P 1'
_symmetry_Int_Tables_number 1
_cell_length_a 10.6854
_cell_length_b 3.9737
_cell_length_c 13.1926
_cell_angle_alpha 90.00
_cell_angle_beta 90.00
_cell_angle_gamma 90.00
loop_
_symmetry_equiv_pos_as_xyz
'x,y,z'
loop_
_atom_site_label
_atom_site_fract_x
_atom_site_fract_y
_atom_site_fract_z
Bi1 0.1645 0.2500 0.0361
Bi2 0.3355 0.7500 0.5361
Bi3 0.6645 0.2500 0.4639
Bi4 0.8355 0.7500 0.9639
Sb1 0.0322 0.2500 0.6357
Sb2 0.4678 0.7500 0.1357
Sb3 0.5322 0.2500 0.8643
Sb4 0.9678 0.7500 0.3643
S1 0.0338 0.7500 0.1243
S2 0.1387 0.2500 0.4661
S3 0.1765 0.7500 0.7003
S4 0.3235 0.2500 0.2003
S5 0.3613 0.7500 0.9661
S6 0.4662 0.2500 0.6243
S7 0.5338 0.7500 0.3757
S8 0.6387 0.2500 0.0339
S9 0.6765 0.7500 0.7997
S10 0.8235 0.2500 0.2997
S11 0.8613 0.7500 0.5339
S12 0.9662 0.2500 0.8757

---

# SrRe3Ni, optimized geometry, DFT GGA-PBE
# * energy relative to the lowest polymorph listed for this composition: 0.0000 eV/atom
# * DFT formation energy: 159.8 kJ/mol of atoms
# * final energy: -36.53 eV/cell
# * crystal system: cubic
# * theoretical density: 11.90 g/cm3
# * DOS at the Fermi energy: 11.0 states/eV/cell
data_SrRe3Ni
_chemical_formula_sum 'Sr1 Re3 Ni1'
_symmetry_space_group_name_H-M 'P 1'
_symmetry_Int_Tables_number 1
_cell_length_a 4.6157
_cell_length_b 4.6157
_cell_length_c 4.6157
_cell_angle_alpha 90.00
_cell_angle_beta 90.00
_cell_angle_gamma 90.00
loop_
_symmetry_equiv_pos_as_xyz
'x,y,z'
loop_
_atom_site_label
_atom_site_fract_x
_atom_site_fract_y
_atom_site_fract_z
Sr1 0.0000 0.0000 0.0000
Re1 0.0000 0.5000 0.5000
Re2 0.5000 0.0000 0.5000
Re3 0.5000 0.5000 0.0000
Ni1 0.5000 0.5000 0.5000

---

# ZnTe2Rh, optimized geometry, DFT GGA-PBE
# * raw formation energy: -134 meV/atom
# * final energy: -15.45 eV/cell
# * crystal system: trigonal
# * theoretical density: 7.48 g/cm3
# * DOS at the Fermi energy: 1.9 states/eV/cell
data_ZnTe2Rh
_chemical_formula_sum 'Zn1 Te2 Rh1'
_symmetry_space_group_name_H-M 'P 1'
_symmetry_Int_Tables_number 1
_cell_length_a 7.1937
_cell_length_b 7.1937
_cell_length_c 7.1937
_cell_angle_alpha 32.20
_cell_angle_beta 32.20
_cell_angle_gamma 32.20
loop_
_symmetry_equiv_pos_as_xyz
'x,y,z'
loop_
_atom_site_label
_atom_site_fract_x
_atom_site_fract_y
_atom_site_fract_z
Zn1 0.0000 0.0000 0.0000
Te1 0.2699 0.2699 0.2699
Te2 0.4645 0.4645 0.4645
Rh1 0.7365 0.7365 0.7365

---

What is the theoretical density in the first record?
7.49 g/cm3